# CuNiIO6, optimized geometry, DFT GGA+U
# - magnetization (μB/f.u.) = 2.7
# - SG = P4_2nm, No. 102
# - VASP energy (eV/atom) = -4.640
# - density of states at the Fermi level (states/eV per cell) = 8.0
data_CuNiIO6
_chemical_formula_sum 'Cu2 Ni2 I2 O12'
_cell_length_a 4.643
_cell_length_b 4.643
_cell_length_c 9.095
_cell_angle_alpha 90.00
_cell_angle_beta 90.00
_cell_angle_gamma 90.00
_space_group_name_H-M_alt 'P 1'
_space_group_IT_number 1
_space_group_name_Hall 'P 1'
loop_
_atom_site_label
_atom_site_type_symbol
_atom_site_fract_x
_atom_site_fract_y
_atom_site_fract_z
_atom_site_occupancy
O1 O 0.312 0.312 0.994 1
O2 O 0.308 0.308 0.675 1
O3 O 0.795 0.205 0.832 1
O4 O 0.692 0.692 0.675 1
O5 O 0.295 0.295 0.332 1
O6 O 0.705 0.705 0.332 1
O7 O 0.808 0.192 0.175 1
O8 O 0.188 0.812 0.494 1
O9 O 0.205 0.795 0.832 1
O10 O 0.688 0.688 0.994 1
O11 O 0.812 0.188 0.494 1
O12 O 0.192 0.808 0.175 1
I1 I 0.000 0.000 0.332 1
I2 I 0.500 0.500 0.832 1
Cu1 Cu 0.500 0.500 0.167 1
Cu2 Cu 0.000 0.000 0.667 1
Ni1 Ni 0.000 0.000 0.999 1
Ni2 Ni 0.500 0.500 0.499 1